Computed, not measured: a geometry-optimized MgU3S6 structure at the PBE level of DFT.

a = 10.1496 Å, b = 3.9810 Å, c = 11.9004 Å
α = 90.00°, β = 104.94°, γ = 90.00°
Last column: nearest neighbours and their distance in Å.
Sites, in units of the cell vectors:
Mg1 0.0382 0.2500 0.1456  6 S 2.49-2.76
Mg2 0.9618 0.7500 0.8544  6 S 2.49-2.76
U1 0.1513 0.2500 0.6034  6 S 2.65-2.76
U2 0.3221 0.7500 0.0075  7 S 2.77-2.98
U3 0.4039 0.2500 0.3356  6 S 2.73-2.86
U4 0.5961 0.7500 0.6644  6 S 2.73-2.86
U5 0.6779 0.2500 0.9925  7 S 2.77-2.98
U6 0.8487 0.7500 0.3966  6 S 2.65-2.76
S1 0.1189 0.7500 0.4479  3 U 2.65-2.68
S2 0.1251 0.2500 0.9684  3 Mg 2.49-2.72, 2 U 2.77
S3 0.1621 0.7500 0.7595  1 Mg 2.57, 2 U 2.71
S4 0.2311 0.7500 0.2152  2 Mg 2.76, 3 U 2.79-2.85
S5 0.4141 0.2500 0.5778  4 U 2.73-2.86
S6 0.4894 0.2500 0.1286  4 U 2.77-2.81
S7 0.5106 0.7500 0.8714  4 U 2.77-2.81
S8 0.5859 0.7500 0.4222  4 U 2.73-2.86
S9 0.7689 0.2500 0.7848  2 Mg 2.76, 3 U 2.79-2.85
S10 0.8379 0.2500 0.2405  1 Mg 2.57, 2 U 2.71
S11 0.8749 0.7500 0.0316  3 Mg 2.49-2.72, 2 U 2.77
S12 0.8811 0.2500 0.5521  3 U 2.65-2.68

Calculated values
SG: No. 11
formation energy without anion corrections: -1.286 eV per atom
VASP energy: -7.308 eV per atom
N(E_F): 1.48 states/eV/atom